1) Crystalline GaHg2Pd2 at its relaxed geometry. Source: Alexandria, functional PBE.

a b c (Å): 6.662 6.662 4.264
angles (deg): 90.00 90.00 90.00
Sites, in units of the cell vectors:
Ga (0.000, 0.000, 0.000)
Ga (0.500, 0.500, 0.000)
Hg (0.157, 0.343, 0.500)
Hg (0.343, 0.843, 0.500)
Hg (0.657, 0.157, 0.500)
Hg (0.843, 0.657, 0.500)
Pd (0.152, 0.652, 0.000)
Pd (0.348, 0.152, 0.000)
Pd (0.652, 0.848, 0.000)
Pd (0.848, 0.348, 0.000)

As for the calculated density: 12.00 g cm⁻³.

2) Crystalline GaHg2Pd2 at its relaxed geometry. Source: Alexandria, functional PBE.

a b c (Å): 8.101 8.101 3.010
angles (deg): 90.00 90.00 90.00
Sites, in units of the cell vectors:
Ga (0.000, 0.000, 0.000)
Ga (0.500, 0.500, 0.000)
Hg (0.168, 0.332, 0.000)
Hg (0.332, 0.832, 0.000)
Hg (0.668, 0.168, 0.000)
Hg (0.832, 0.668, 0.000)
Pd (0.127, 0.627, 0.500)
Pd (0.373, 0.127, 0.500)
Pd (0.627, 0.873, 0.500)
Pd (0.873, 0.373, 0.500)

As for the calculated density: 11.49 g cm⁻³.

Looking at the structures above, 1) is most stable, and the difference to the next one is 19.4 kJ/mol of atoms.